Material: NaSrEu
Method: DFT, PBE
State: relaxed

Output
As for the calculated volume: 45.73 A^3/atom. The density of states at the Fermi level is 4.370 states/eV/atom. The total energy comes out at -26.2 eV/cell. As for the formation enthalpy at 0 K: 16.5 kJ/mol of formula units.

Lattice parameters (Å, degrees): 4.1074 4.1074 16.2646 90.00 90.00 90.00
Closest atoms and distances in Å follow each position.
Space group I4mm (No. 107)
One atom of each set of equivalent atoms:
Na (0.0000, 0.0000, 0.0000) (multiplicity 2)  4 Eu 3.85, 4 Sr 3.92, 4 Na 4.11
Sr (0.0000, 0.0000, 0.3386) (multiplicity 2)  4 Na 3.92, 4 Sr 4.11, 4 Eu 4.16
Eu (0.0000, 0.0000, 0.6558) (multiplicity 2)  4 Na 3.85, 4 Eu 4.11, 4 Sr 4.16